[1]
Here is a PBEsol-optimized structure of Na7V2O6 from the Alexandria database. Energies are from meta-GGA SCAN.

Results
For the formation energy (no corrections), the calculation gives -1801 meV/atom. The calculated total energy is -8.592 eV/atom. For the density of states at the Fermi level, the calculation gives 6.65 states/eV/f.u.

a = 15.5999 Å, b = 5.7007 Å, c = 10.2996 Å
α = 90.00°, β = 104.75°, γ = 90.00°
Space group C2/c (No. 15)
Asymmetric unit:
Na 0.0000 0.0879 0.2500 (multiplicity 4)
Na 0.0611 0.3557 0.6450 (multiplicity 8)
Na 0.1732 0.4199 0.4072 (multiplicity 8)
Na 0.2246 0.0415 0.8123 (multiplicity 8)
V 0.1233 0.1181 0.0376 (multiplicity 8)
O 0.0873 0.2347 0.8752 (multiplicity 8)
O 0.1250 0.2737 0.1899 (multiplicity 8)
O 0.1757 0.1599 0.5814 (multiplicity 8)

[2]
Here is a PBEsol-optimized structure of FeMoPt2 from the Alexandria database. Energies are from meta-GGA SCAN.

Results
The calculation puts the formation energy at -429 meV per atom. The calculated total energy is -48.779 eV/atom. For the density of states at the Fermi level, the calculation gives 1.90 states/eV/f.u.

a = 2.7059 Å, b = 2.7059 Å, c = 7.7156 Å
α = 90.00°, β = 90.00°, γ = 90.00°
Space group P4/mmm (No. 123)
Asymmetric unit:
Fe 0.0000 0.0000 0.0000 (multiplicity 1)
Mo 0.0000 0.0000 0.5000 (multiplicity 1)
Pt 0.5000 0.5000 0.2427 (multiplicity 2)

[3]
Here is a PBEsol-optimized structure of ZrTl2Pt from the Alexandria database. Energies are from meta-GGA SCAN.

Results
The calculation puts the formation energy at 38 meV per atom. The calculated total energy is -61.364 eV/atom. For the density of states at the Fermi level, the calculation gives 2.44 states/eV/f.u.

a = 3.2768 Å, b = 3.2768 Å, c = 26.9596 Å
α = 90.00°, β = 90.00°, γ = 120.00°
Space group R-3m (No. 166, hexagonal axes)
Asymmetric unit:
Zr 0.0000 0.0000 0.0000 (multiplicity 3)
Tl 0.0000 0.0000 0.2433 (multiplicity 6)
Pt 0.0000 0.0000 0.5000 (multiplicity 3)

[4]
Here is a PBEsol-optimized structure of K2MoRh from the Alexandria database. Energies are from meta-GGA SCAN.

Results
The calculation puts the formation energy at 1205 meV per atom. The calculated total energy is -20.123 eV/atom. For the density of states at the Fermi level, the calculation gives 3.97 states/eV/f.u.

a = 5.2135 Å, b = 11.3558 Å, c = 2.7406 Å
α = 90.00°, β = 90.00°, γ = 90.00°
Space group Cmmm (No. 65)
Asymmetric unit:
K 0.2500 0.2500 0.0000 (multiplicity 4)
Mo 0.0000 0.0000 0.5000 (multiplicity 2)
Rh 0.0000 0.5000 0.5000 (multiplicity 2)

[5]
Here is a PBEsol-optimized structure of FeSnSe2Br from the Alexandria database. Energies are from meta-GGA SCAN.

Results
For the formation energy (no corrections), the calculation gives -16 meV/atom. The calculated total energy is -22.750 eV/atom. For the density of states at the Fermi level, the calculation gives 3.61 states/eV/f.u.

a = 4.7458 Å, b = 4.7458 Å, c = 4.9538 Å
α = 90.00°, β = 90.00°, γ = 90.00°
Space group P4/mmm (No. 123)
Asymmetric unit:
Fe 0.0000 0.0000 0.0000 (multiplicity 1)
Sn 0.5000 0.5000 0.5000 (multiplicity 1)
Se 0.0000 0.5000 0.0000 (multiplicity 2)
Br 0.0000 0.0000 0.5000 (multiplicity 1)

[6]
Here is a PBEsol-optimized structure of AlV2O4 from the Alexandria database. Energies are from meta-GGA SCAN.

Results
For the formation energy (no corrections), the calculation gives -2854 meV/atom. The calculated total energy is -12.519 eV/atom. For the density of states at the Fermi level, the calculation gives 2.27 states/eV/f.u.

a = 5.7185 Å, b = 8.1827 Å, c = 5.8488 Å
α = 90.00°, β = 90.35°, γ = 90.00°
Space group P2_1/c (No. 14)
Asymmetric unit:
Al 0.2409 0.1229 0.0046 (multiplicity 4)
V 0.0000 0.0000 0.5000 (multiplicity 2)
V 0.2631 0.7428 0.2364 (multiplicity 4)
V 0.5000 0.0000 0.5000 (multiplicity 2)
O 0.0098 0.7476 0.9884 (multiplicity 4)
O 0.2469 0.0050 0.7515 (multiplicity 4)
O 0.2466 0.5058 0.7470 (multiplicity 4)
O 0.4924 0.2481 0.0113 (multiplicity 4)

[7]
Here is a PBEsol-optimized structure of BaSi3Pd from the Alexandria database. Energies are from meta-GGA SCAN.

Results
For the formation energy (no corrections), the calculation gives -482 meV/atom. The calculated total energy is -20.957 eV/atom. For the density of states at the Fermi level, the calculation gives 1.60 states/eV/f.u.

a = 4.3906 Å, b = 4.3906 Å, c = 10.0551 Å
α = 90.00°, β = 90.00°, γ = 90.00°
Space group I4mm (No. 107)
Asymmetric unit:
Ba 0.0000 0.0000 0.0000 (multiplicity 2)
Si 0.0000 0.0000 0.6100 (multiplicity 2)
Si 0.0000 0.5000 0.2455 (multiplicity 4)
Pd 0.0000 0.0000 0.3547 (multiplicity 2)

[8]
Here is a PBEsol-optimized structure of CuSb3P from the Alexandria database. Energies are from meta-GGA SCAN.

Results
For the formation energy (no corrections), the calculation gives 1005 meV/atom. The calculated total energy is -26.471 eV/atom. For the density of states at the Fermi level, the calculation gives 3.76 states/eV/f.u.

a = 5.1036 Å, b = 5.1036 Å, c = 5.1036 Å
α = 90.00°, β = 90.00°, γ = 90.00°
Space group Pm-3m (No. 221)
Asymmetric unit:
Cu 0.0000 0.0000 0.0000 (multiplicity 1)
Sb 0.0000 0.5000 0.5000 (multiplicity 3)
P 0.5000 0.5000 0.5000 (multiplicity 1)

[9]
Here is a PBEsol-optimized structure of K2NaBiCl6 from the Alexandria database. Energies are from meta-GGA SCAN.

Results
For the formation energy (no corrections), the calculation gives -1653 meV/atom. The calculated total energy is -16.385 eV/atom. For the density of states at the Fermi level, the calculation gives 0.00 states/eV/f.u.

a = 10.6904 Å, b = 10.6904 Å, c = 10.6904 Å
α = 90.00°, β = 90.00°, γ = 90.00°
Space group Fm-3m (No. 225)
Asymmetric unit:
K 0.2500 0.2500 0.2500 (multiplicity 8)
Na 0.0000 0.0000 0.0000 (multiplicity 4)
Bi 0.0000 0.0000 0.5000 (multiplicity 4)
Cl 0.0000 0.0000 0.2500 (multiplicity 24)

[10]
Here is a PBEsol-optimized structure of CaRh from the Alexandria database. Energies are from meta-GGA SCAN.

Results
The calculation puts the formation energy at -250 meV per atom. The calculated total energy is -21.967 eV/atom. For the density of states at the Fermi level, the calculation gives 1.12 states/eV/f.u.

a = 3.1743 Å, b = 4.7040 Å, c = 10.4534 Å
α = 90.00°, β = 90.00°, γ = 90.00°
Space group Imma (No. 74)
Asymmetric unit:
Ca 0.0000 0.2500 0.1078 (multiplicity 4)
Rh 0.0000 0.2500 0.6506 (multiplicity 4)

[11]
Here is a PBEsol-optimized structure of YSiCl2 from the Alexandria database. Energies are from meta-GGA SCAN.

Results
For the formation energy (no corrections), the calculation gives -869 meV/atom. The calculated total energy is -14.322 eV/atom. For the density of states at the Fermi level, the calculation gives 1.48 states/eV/f.u.

a = 3.4319 Å, b = 4.4809 Å, c = 10.6290 Å
α = 90.00°, β = 90.00°, γ = 90.00°
Space group Imm2 (No. 44)
Asymmetric unit:
Y 0.0000 0.0000 0.0000 (multiplicity 2)
Si 0.0000 0.5000 0.2476 (multiplicity 2)
Cl 0.0000 0.0000 0.4594 (multiplicity 2)
Cl 0.0000 0.5000 0.6958 (multiplicity 2)

[12]
Here is a PBEsol-optimized structure of Ta11Os4 from the Alexandria database. Energies are from meta-GGA SCAN.

Results
The calculation puts the formation energy at -387 meV per atom. The calculated total energy is -68.383 eV/atom. For the density of states at the Fermi level, the calculation gives 9.48 states/eV/f.u.

a = 9.8611 Å, b = 9.8611 Å, c = 5.1601 Å
α = 90.00°, β = 90.00°, γ = 90.00°
Space group P4_2/mnm (No. 136)
Asymmetric unit:
Ta 0.0000 0.0000 0.0000 (multiplicity 2)
Ta 0.0303 0.3704 0.5000 (multiplicity 8)
Ta 0.1028 0.1028 0.5000 (multiplicity 4)
Ta 0.1883 0.8117 0.2510 (multiplicity 8)
Os 0.0612 0.2579 0.0000 (multiplicity 8)

[13]
Here is a PBEsol-optimized structure of Tl2SnTe5 from the Alexandria database. Energies are from meta-GGA SCAN.

Results
For the formation energy (no corrections), the calculation gives -173 meV/atom. The calculated total energy is -46.035 eV/atom. For the density of states at the Fermi level, the calculation gives 0.55 states/eV/f.u.

a = 8.1886 Å, b = 8.1886 Å, c = 15.0337 Å
α = 90.00°, β = 90.00°, γ = 90.00°
Space group I4/mcm (No. 140)
Asymmetric unit:
Tl 0.0000 0.0000 0.0000 (multiplicity 4)
Tl 0.0000 0.0000 0.2500 (multiplicity 4)
Sn 0.0000 0.5000 0.2500 (multiplicity 4)
Te 0.0000 0.5000 0.0000 (multiplicity 4)
Te 0.1913 0.3087 0.1338 (multiplicity 16)

[14]
Here is a PBEsol-optimized structure of AlTeRhI2 from the Alexandria database. Energies are from meta-GGA SCAN.

Results
For the formation energy (no corrections), the calculation gives 269 meV/atom. The calculated total energy is -30.182 eV/atom. For the density of states at the Fermi level, the calculation gives 3.80 states/eV/f.u.

a = 5.4674 Å, b = 5.4674 Å, c = 5.0020 Å
α = 90.00°, β = 90.00°, γ = 90.00°
Space group P4/mmm (No. 123)
Asymmetric unit:
Al 0.0000 0.0000 0.0000 (multiplicity 1)
Te 0.5000 0.5000 0.0000 (multiplicity 1)
Rh 0.5000 0.5000 0.5000 (multiplicity 1)
I 0.0000 0.5000 0.5000 (multiplicity 2)

[15]
Here is a PBEsol-optimized structure of V5O12 from the Alexandria database. Energies are from meta-GGA SCAN.

Results
For the formation energy (no corrections), the calculation gives -2410 meV/atom. The calculated total energy is -11.952 eV/atom. For the density of states at the Fermi level, the calculation gives 2.78 states/eV/f.u.

a = 5.3679 Å, b = 8.1216 Å, c = 8.9330 Å
α = 90.00°, β = 94.89°, γ = 90.00°
Space group C2 (No. 5)
Asymmetric unit:
V 0.0000 0.0000 0.0000 (multiplicity 2)
V 0.0000 0.1830 0.5000 (multiplicity 2)
V 0.0000 0.5623 0.5000 (multiplicity 2)
V 0.2142 0.3469 0.7832 (multiplicity 4)
O 0.0439 0.3748 0.3673 (multiplicity 4)
O 0.0482 0.8620 0.8547 (multiplicity 4)
O 0.1131 0.1895 0.8757 (multiplicity 4)
O 0.1730 0.7012 0.3900 (multiplicity 4)
O 0.1755 0.0488 0.3948 (multiplicity 4)
O 0.1781 0.5110 0.9039 (multiplicity 4)

[16]
Here is a PBEsol-optimized structure of LaSc2 from the Alexandria database. Energies are from meta-GGA SCAN.

Results
The calculation puts the formation energy at 79 meV per atom. The calculated total energy is -23.781 eV/atom. For the density of states at the Fermi level, the calculation gives 4.34 states/eV/f.u.

a = 10.2091 Å, b = 5.9228 Å, c = 6.3101 Å
α = 90.00°, β = 122.25°, γ = 90.00°
Space group C2/c (No. 15)
Asymmetric unit:
La 0.0000 0.0948 0.2500 (multiplicity 4)
Sc 0.1643 0.4206 0.7590 (multiplicity 8)

[17]
Here is a PBEsol-optimized structure of LiTaBi3 from the Alexandria database. Energies are from meta-GGA SCAN.

Results
The calculation puts the formation energy at 980 meV per atom. The calculated total energy is -59.962 eV/atom. For the density of states at the Fermi level, the calculation gives 4.28 states/eV/f.u.

a = 4.9924 Å, b = 4.9924 Å, c = 4.9924 Å
α = 90.00°, β = 90.00°, γ = 90.00°
Space group Pm-3m (No. 221)
Asymmetric unit:
Li 0.0000 0.0000 0.0000 (multiplicity 1)
Ta 0.5000 0.5000 0.5000 (multiplicity 1)
Bi 0.0000 0.0000 0.5000 (multiplicity 3)

[18]
Here is a PBEsol-optimized structure of La5S8 from the Alexandria database. Energies are from meta-GGA SCAN.

Results
For the formation energy (no corrections), the calculation gives -2313 meV/atom. The calculated total energy is -24.816 eV/atom. For the density of states at the Fermi level, the calculation gives 5.89 states/eV/f.u.

a = 8.6133 Å, b = 8.6133 Å, c = 8.6031 Å
α = 90.00°, β = 90.00°, γ = 90.00°
Space group I-4 (No. 82)
Asymmetric unit:
La 0.0000 0.0000 0.0000 (multiplicity 2)
La 0.1315 0.7471 0.3838 (multiplicity 8)
S 0.0739 0.8426 0.7026 (multiplicity 8)
S 0.0826 0.6792 0.0613 (multiplicity 8)

[19]
Here is a PBEsol-optimized structure of ZrAs2Ru from the Alexandria database. Energies are from meta-GGA SCAN.

Results
The calculation puts the formation energy at -703 meV per atom. The calculated total energy is -27.180 eV/atom. For the density of states at the Fermi level, the calculation gives 0.62 states/eV/f.u.

a = 3.5109 Å, b = 3.5503 Å, c = 10.8662 Å
α = 90.00°, β = 90.00°, γ = 90.00°
Space group Imm2 (No. 44)
Asymmetric unit:
Zr 0.0000 0.0000 0.0000 (multiplicity 2)
As 0.0000 0.0000 0.4132 (multiplicity 2)
As 0.0000 0.5000 0.1859 (multiplicity 2)
Ru 0.0000 0.5000 0.7530 (multiplicity 2)

[20]
Here is a PBEsol-optimized structure of TiMnNiPd2 from the Alexandria database. Energies are from meta-GGA SCAN.

Results
The calculation puts the formation energy at 384 meV per atom. The calculated total energy is -22.818 eV/atom. For the density of states at the Fermi level, the calculation gives 3.76 states/eV/f.u.

a = 4.6125 Å, b = 4.6125 Å, c = 4.0602 Å
α = 90.00°, β = 90.00°, γ = 90.00°
Space group P4/mmm (No. 123)
Asymmetric unit:
Ti 0.0000 0.0000 0.0000 (multiplicity 1)
Mn 0.5000 0.5000 0.0000 (multiplicity 1)
Ni 0.0000 0.0000 0.5000 (multiplicity 1)
Pd 0.0000 0.5000 0.5000 (multiplicity 2)